Material: PrAl3AgPt
Method: DFT, PBE-GGA
State: optimized geometry

Computed properties:
ΔE_f = -0.48 eV/atom
DOS(E_F) = 1.63 states/eV/f.u.

Geometry as POSCAR:
```
PrAl3AgPt
1.0
6.0044 0.0000 0.0000
0.0000 5.9819 0.0000
0.0000 -2.9910 6.7460
Pr Al Ag Pt
2 6 2 2
direct
0.7500 0.2958 0.5916
0.2500 0.7042 0.4084
0.2500 0.1284 0.2568
0.0000 0.2802 0.0000
0.5000 0.7198 0.0000
0.5000 0.2802 0.0000
0.0000 0.7198 0.0000
0.7500 0.8716 0.7432
0.2500 0.3401 0.6802
0.7500 0.6599 0.3198
0.2500 0.9146 0.8291
0.7500 0.0854 0.1709
```

Material: CsSr2LiCu
Method: DFT, PBE-GGA
State: optimized geometry

Computed properties:
ΔE_f = 0.17 eV/atom
DOS(E_F) = 3.47 states/eV/f.u.

Geometry as POSCAR:
```
CsSr2LiCu
1.0
-5.7048 2.0776 0.8990
-1.5116 -1.6817 -5.7058
-1.6135 -5.2899 1.9866
Cs Sr Cu Li
1 2 1 1
direct
0.5000 0.5000 0.5000
0.0000 0.5000 0.0000
0.5000 0.0000 0.0000
0.0000 0.0000 0.0000
0.0000 0.0000 0.5000
```